LiAu2 | the Alexandria database | SCAN | PBEsol geometry; energy of formation = -134 kJ/mol of formula units; uncorrected energy = -284.2 eV for the cell shown; space-group type = No. 63; total magnetization = 0.0 μB per formula unit
1.0
1.3814 -7.3940 0.0000
1.3814 7.3940 0.0000
0.0000 0.0000 4.6565
Li Au
2 4
direct
0.1100 0.8900 0.7500
0.8900 0.1100 0.2500
0.2229 0.7771 0.2500
0.4475 0.5525 0.7500
0.5525 0.4475 0.2500
0.7771 0.2229 0.7500